Record 1
A relaxed Sm5PuHg4 crystal, computed with PBE.

Lattice parameters (Å, degrees): 3.7548 3.7548 19.7912 90.00 90.00 90.00
Last column: nearest neighbours and their distance in Å.
Sites, in units of the cell vectors:
Sm: 0.0000 0.0000 0.0000  8 Hg 3.27
Sm: 0.0000 0.0000 0.1934  8 Hg 3.27-3.31
Sm: 0.0000 0.0000 0.3866  4 Hg 3.23, 4 Pu 3.48
Sm: 0.0000 0.0000 0.6134  4 Hg 3.23, 4 Pu 3.48
Sm: 0.0000 0.0000 0.8066  8 Hg 3.27-3.31
Pu: 0.5000 0.5000 0.5000  8 Sm 3.48, 4 Pu 3.75
Hg: 0.5000 0.5000 0.0965  8 Sm 3.27
Hg: 0.5000 0.5000 0.2934  8 Sm 3.23-3.31
Hg: 0.5000 0.5000 0.7066  8 Sm 3.23-3.31
Hg: 0.5000 0.5000 0.9035  8 Sm 3.27

Final energy (eV per atom): -4.2413

Record 2
A relaxed SmPuThHg crystal, computed with PBE.

Lattice parameters (Å, degrees): 5.4106 5.4106 5.4106 60.00 60.00 60.00
Last column: nearest neighbours and their distance in Å.
Sites, in units of the cell vectors:
Sm: 0.0000 0.0000 0.0000  4 Pu 3.31, 4 Hg 3.31
Pu: 0.7500 0.7500 0.7500  4 Th 3.31, 4 Sm 3.31
Th: 0.5000 0.5000 0.5000  4 Hg 3.31, 4 Pu 3.31
Hg: 0.2500 0.2500 0.2500  4 Th 3.31, 4 Sm 3.31

Final energy (eV per atom): -6.6500

Record 3
A relaxed SmPuTlHg crystal, computed with PBE.

Lattice parameters (Å, degrees): 3.4486 3.4486 9.0905 90.00 90.00 90.00
Last column: nearest neighbours and their distance in Å.
Sites, in units of the cell vectors:
Sm: 0.0000 0.0000 0.0000  4 Hg 3.27, 4 Tl 3.38, 4 Sm 3.45
Pu: 0.0000 0.0000 0.5156  4 Hg 3.30, 4 Tl 3.39, 4 Pu 3.45
Tl: 0.5000 0.5000 0.2569  4 Sm 3.38, 4 Pu 3.39, 4 Tl 3.45
Hg: 0.5000 0.5000 0.7607  4 Sm 3.27, 4 Pu 3.30, 4 Hg 3.45

Final energy (eV per atom): -5.6486

Record 4
A relaxed SmPuTlHg crystal, computed with PBE.

Lattice parameters (Å, degrees): 5.4001 5.4001 5.4001 60.00 60.00 60.00
Last column: nearest neighbours and their distance in Å.
Sites, in units of the cell vectors:
Sm: 0.0000 0.0000 0.0000  4 Hg 3.31, 4 Tl 3.31
Pu: 0.5000 0.5000 0.5000  4 Tl 3.31, 4 Hg 3.31
Tl: 0.7500 0.7500 0.7500  4 Pu 3.31, 4 Sm 3.31
Hg: 0.2500 0.2500 0.2500  4 Pu 3.31, 4 Sm 3.31

Final energy (eV per atom): -5.6491

Record 5
A relaxed Pu2SnHg crystal, computed with PBE.

Lattice parameters (Å, degrees): 3.3522 3.3522 9.1535 90.00 90.00 90.00
Last column: nearest neighbours and their distance in Å.
Sites, in units of the cell vectors:
Pu: 0.0000 0.0000 0.2485  4 Sn 3.29, 4 Hg 3.30, 4 Pu 3.35
Pu: 0.0000 0.0000 0.7515  4 Sn 3.29, 4 Hg 3.30, 4 Pu 3.35
Sn: 0.5000 0.5000 0.0000  8 Pu 3.29, 4 Sn 3.35
Hg: 0.5000 0.5000 0.5000  8 Pu 3.30, 4 Hg 3.35

Final energy (eV per atom): -8.4840

Record 6
A relaxed Pu2SnHg crystal, computed with PBE.

Lattice parameters (Å, degrees): 4.6523 4.6523 4.7048 90.00 90.00 90.00
Last column: nearest neighbours and their distance in Å.
Sites, in units of the cell vectors:
Pu: 0.0000 0.5000 0.0000  4 Pu 3.29, 4 Hg 3.31, 4 Sn 3.31
Pu: 0.5000 0.0000 0.0000  4 Pu 3.29, 4 Hg 3.31, 4 Sn 3.31
Sn: 0.0000 0.0000 0.5000  4 Hg 3.29, 8 Pu 3.31
Hg: 0.5000 0.5000 0.5000  4 Sn 3.29, 8 Pu 3.31

Final energy (eV per atom): -8.4913

Record 7
A relaxed PuSnHg2 crystal, computed with PBE.

Lattice parameters (Å, degrees): 4.6328 4.6328 9.6592 90.00 90.00 90.00
Last column: nearest neighbours and their distance in Å.
Sites, in units of the cell vectors:
Pu: 0.2500 0.2500 0.2438  8 Hg 3.28-3.30, 4 Sn 3.39
Pu: 0.7500 0.7500 0.7562  8 Hg 3.28-3.30, 4 Sn 3.39
Sn: 0.2500 0.7500 0.5000  4 Sn 3.28, 4 Hg 3.33, 4 Pu 3.39
Sn: 0.7500 0.2500 0.5000  4 Sn 3.28, 4 Hg 3.33, 4 Pu 3.39
Hg: 0.2500 0.2500 0.7472  4 Pu 3.28, 4 Sn 3.33, 4 Hg 3.37
Hg: 0.2500 0.7500 0.0000  8 Hg 3.28-3.37, 4 Pu 3.30
Hg: 0.7500 0.2500 0.0000  8 Hg 3.28-3.37, 4 Pu 3.30
Hg: 0.7500 0.7500 0.2528  4 Pu 3.28, 4 Sn 3.33, 4 Hg 3.37

Final energy (eV per atom): -4.8632

Record 8
A relaxed PuSnHg crystal, computed with PBE.

Lattice parameters (Å, degrees): 6.9092 6.9092 6.9092 150.94 150.94 41.57
Last column: nearest neighbours and their distance in Å.
Sites, in units of the cell vectors:
Pu: 0.0000 0.0000 0.0000  4 Hg 3.26, 4 Sn 3.31, 4 Pu 3.47
Sn: 0.3274 0.3274 0.0000  4 Hg 3.22, 4 Pu 3.31, 4 Sn 3.47
Hg: 0.6663 0.6663 0.0000  4 Sn 3.22, 4 Pu 3.26, 4 Hg 3.47

Final energy (eV per atom): -6.3625

Record 9
A relaxed PuSnHg6 crystal, computed with PBE.

Lattice parameters (Å, degrees): 6.6163 6.6163 5.0036 90.00 90.00 109.13
Last column: nearest neighbours and their distance in Å.
Sites, in units of the cell vectors:
Pu: 0.0000 0.0000 0.0000  12 Hg 3.29-3.40
Sn: 0.5000 0.5000 0.0000  8 Hg 3.03-3.31
Hg: 0.0000 0.5000 0.0000  4 Hg 3.18, 2 Sn 3.31, 2 Pu 3.31
Hg: 0.2137 0.7863 0.5000  6 Hg 3.14-3.18, 2 Pu 3.40
Hg: 0.2782 0.2782 0.5000  2 Sn 3.03, 2 Hg 3.14, 2 Pu 3.29
Hg: 0.5000 0.0000 0.0000  4 Hg 3.18, 2 Sn 3.31, 2 Pu 3.31
Hg: 0.7218 0.7218 0.5000  2 Sn 3.03, 2 Hg 3.14, 2 Pu 3.29
Hg: 0.7863 0.2137 0.5000  6 Hg 3.14-3.18, 2 Pu 3.40

Final energy (eV per atom): -2.5619

Record 10
A relaxed PuSnHg crystal, computed with PBE.

Lattice parameters (Å, degrees): 5.3514 5.3514 6.4079 90.00 90.00 120.26
Last column: nearest neighbours and their distance in Å.
Sites, in units of the cell vectors:
Pu: 0.1673 0.8327 0.7500  5 Sn 3.08-3.20
Pu: 0.8327 0.1673 0.2500  5 Sn 3.08-3.20
Sn: 0.1651 0.8349 0.2500  5 Pu 3.08-3.20
Sn: 0.8349 0.1651 0.7500  5 Pu 3.08-3.20
Hg: 0.5000 0.5000 0.0000  2 Hg 3.20, 6 Sn 3.47-3.50, 6 Pu 3.48
Hg: 0.5000 0.5000 0.5000  2 Hg 3.20, 6 Sn 3.47-3.50, 6 Pu 3.48

Final energy (eV per atom): -6.3308

Record 11
A relaxed PuSnHg crystal, computed with PBE.

Lattice parameters (Å, degrees): 4.9761 4.9761 4.9761 60.00 60.00 60.00
Last column: nearest neighbours and their distance in Å.
Sites, in units of the cell vectors:
Pu: 0.0000 0.0000 0.0000  4 Hg 3.05
Sn: 0.5000 0.5000 0.5000  4 Hg 3.05
Hg: 0.7500 0.7500 0.7500  4 Sn 3.05, 4 Pu 3.05

Final energy (eV per atom): -6.3007

Record 12
A relaxed PuSnHg crystal, computed with PBE.

Lattice parameters (Å, degrees): 5.0937 5.0937 3.3880 90.00 90.00 120.00
Last column: nearest neighbours and their distance in Å.
Sites, in units of the cell vectors:
Pu: 0.0000 0.0000 0.0000  2 Pu 3.39, 6 Sn 3.39, 6 Hg 3.39
Sn: 0.3333 0.6667 0.5000  3 Hg 2.94
Hg: 0.6667 0.3333 0.5000  3 Sn 2.94

Final energy (eV per atom): -6.4265

- final energy of number 4 (SmPuTlHg)?
  -5.6491 eV per atom